{
  "formula": "FeCuMo",
  "functional": "GGA-PBEsol",
  "state": "optimized geometry",
  "formation_enthalpy_0k_mev_per_atom": 927,
  "relative_energy_mev_per_atom": 733,
  "cell": [[0.0000, 2.7871, 2.7871], [2.7871, 0.0000, 2.7871], [2.7871, 2.7871, 0.0000]],
  "species": ["Fe", "Cu", "Mo"],
  "fractional_positions": [[0.0000, 0.0000, 0.0000], [0.2500, 0.2500, 0.2500], [0.5000, 0.5000, 0.5000]]
}


{
  "formula": "FeCu3N",
  "functional": "GGA-PBEsol",
  "state": "optimized geometry",
  "e_form_raw_ev_per_atom": 2.184,
  "cell": [[4.3075, 0.0000, 0.0000], [0.0000, 4.3075, 0.0000], [0.0000, 0.0000, 4.3075]],
  "species": ["Fe", "Cu", "Cu", "Cu", "N"],
  "fractional_positions": [[0.0000, 0.0000, 0.0000], [0.0000, 0.0000, 0.5000], [0.0000, 0.5000, 0.0000], [0.5000, 0.0000, 0.0000], [0.5000, 0.5000, 0.5000]]
}


{
  "formula": "Fe2CuPbN",
  "functional": "GGA-PBEsol",
  "state": "optimized geometry",
  "e_form_raw_ev_per_atom": 2.279,
  "cell": [[4.8971, 0.0000, 0.0000], [0.0000, 4.8971, 0.0000], [0.0000, 0.0000, 4.1884]],
  "species": ["Fe", "Fe", "Cu", "Pb", "N"],
  "fractional_positions": [[0.0000, 0.5000, 0.0000], [0.5000, 0.0000, 0.0000], [0.0000, 0.0000, 0.5000], [0.5000, 0.5000, 0.0000], [0.5000, 0.5000, 0.5000]]
}


{
  "formula": "NaFeCuSe2",
  "functional": "GGA-PBEsol",
  "state": "optimized geometry",
  "e_form_raw_ev_per_atom": -0.379,
  "cell": [[3.9422, 0.0000, 0.0000], [-1.9711, 3.4140, 0.0000], [0.0000, 0.0000, 7.0952]],
  "species": ["Na", "Fe", "Cu", "Se", "Se"],
  "fractional_positions": [[0.0000, 0.0000, 0.0000], [0.6667, 0.3333, 0.3994], [0.3333, 0.6667, 0.6179], [0.3333, 0.6667, 0.2722], [0.6667, 0.3333, 0.7383]]
}


{
  "formula": "NbFeCuW2",
  "functional": "GGA-PBEsol",
  "state": "optimized geometry",
  "formation_enthalpy_0k_mev_per_atom": 1526,
  "cell": [[4.5121, 0.0000, 0.0000], [0.0000, 4.5121, 0.0000], [0.0000, 0.0000, 4.0917]],
  "species": ["Nb", "Fe", "Cu", "W", "W"],
  "fractional_positions": [[0.0000, 0.0000, 0.0000], [0.5000, 0.5000, 0.0000], [0.5000, 0.5000, 0.5000], [0.0000, 0.5000, 0.5000], [0.5000, 0.0000, 0.5000]]
}


{
  "formula": "NdTi3FeCu3O12",
  "functional": "GGA-PBEsol",
  "state": "optimized geometry",
  "e_form_raw_ev_per_atom": -2.143,
  "cell": [[5.2194, 3.0134, 2.0986], [-5.2194, 3.0134, 2.0986], [0.0000, -6.0269, 2.0986]],
  "species": ["Nd", "Ti", "Ti", "Ti", "Fe", "Cu", "Cu", "Cu", "O", "O", "O", "O", "O", "O", "O", "O", "O", "O", "O", "O"],
  "fractional_positions": [[0.0000, 0.0000, 0.0000], [0.0000, 0.0000, 0.5000], [0.0000, 0.5000, 0.0000], [0.5000, 0.0000, 0.0000], [0.5000, 0.5000, 0.5000], [0.0000, 0.5000, 0.5000], [0.5000, 0.0000, 0.5000], [0.5000, 0.5000, 0.0000], [0.1220, 0.8243, 0.2996], [0.1757, 0.7004, 0.8780], [0.1858, 0.3066, 0.4799], [0.2996, 0.1220, 0.8243], [0.3066, 0.4799, 0.1858], [0.4799, 0.1858, 0.3066], [0.5201, 0.8142, 0.6934], [0.6934, 0.5201, 0.8142], [0.7004, 0.8780, 0.1757], [0.8142, 0.6934, 0.5201], [0.8243, 0.2996, 0.1220], [0.8780, 0.1757, 0.7004]]
}


{
  "formula": "Fe2CuNi",
  "functional": "GGA-PBEsol",
  "state": "optimized geometry",
  "formation_enthalpy_0k_mev_per_atom": 66,
  "relative_energy_mev_per_atom": 1,
  "cell": [[1.7341, -1.7416, 0.0000], [1.7341, 1.7416, 0.0000], [0.0000, 0.0000, 7.2546]],
  "species": ["Fe", "Fe", "Cu", "Ni"],
  "fractional_positions": [[0.0000, 0.0000, 0.0000], [0.5000, 0.5000, 0.2587], [0.0000, 0.0000, 0.5142], [0.5000, 0.5000, 0.7621]]
}


{
  "formula": "FeCu2Ni",
  "functional": "GGA-PBEsol",
  "state": "optimized geometry",
  "formation_enthalpy_0k_mev_per_atom": 70,
  "cell": [[4.1981, -1.2429, 0.0000], [4.1981, 1.2429, 0.0000], [-0.7341, 0.0000, 4.2191]],
  "species": ["Fe", "Cu", "Cu", "Ni"],
  "fractional_positions": [[0.0000, 0.0000, 0.0000], [0.2485, 0.2485, 0.7490], [0.7515, 0.7515, 0.2510], [0.5000, 0.5000, 0.5000]]
}


V values (in Å³/cell) by entry order: 43.3 79.9 100.4 95.5 83.3 198.0 43.8 44.0.
Size of the total moment values (in μB/f.u.) by entry order: 2.5 4.5 5.7 3.9 2.6 3.8 5.5 3.1.